[1]
First-principles (GGA-PBE) data for a relaxed structure of BaRe4Se8, as listed in Alexandria via LeMat-Bulk.

Summary:
- uncorrected formation energy (meV per atom) = -173.9
- ρ (g cm⁻³) = 7.0
- raw total energy (eV per atom) = -6.30

a b c (Å): 7.2965 7.2965 23.2202
angles (deg): 90.00 90.00 120.00
Space group R-3m (No. 166, hexagonal axes)
Inequivalent atoms, fractional coordinates:
1 Ba 0.0000 0.0000 0.0000
2 Re 0.0000 0.0000 0.5000
3 Re 0.0000 0.5000 0.5000
4 Se 0.0000 0.0000 0.2293
5 Se 0.0048 0.5024 0.2290



[2]
First-principles (GGA-PBE) data for a relaxed structure of Pm3TmGa2, as listed in Alexandria via LeMat-Bulk.

Summary:
- polymorph energy (0 for the lowest one) (meV per atom) = 0
- ρ (g cm⁻³) = 7.6
- calculated formation energy (eV per atom) = -0.40
- raw total energy (eV per atom) = -4.53

a b c (Å): 5.090 9.624 6.598
angles (deg): 90.00 90.00 90.00
Space group Pmc2_1 (No. 26)
Inequivalent atoms, fractional coordinates:
1 Pm 0.000 0.046 0.000
2 Pm 0.000 0.334 0.339
3 Pm 0.500 0.180 0.707
4 Tm 0.500 0.448 0.045
5 Ga 0.000 0.353 0.821
6 Ga 0.500 0.148 0.231



[3]
First-principles (GGA-PBE) data for a relaxed structure of Ho12ThSc6, as listed in Alexandria via LeMat-Bulk.

Summary:
- polymorph energy (0 for the lowest one) (meV per atom) = 33
- ρ (g cm⁻³) = 7.1
- calculated formation energy (eV per atom) = 0.27
- raw total energy (eV per atom) = -5.01

a b c (Å): 14.2037 14.2037 9.9324
angles (deg): 90.00 90.00 120.00
Space group R-3 (No. 148, hexagonal axes)
Inequivalent atoms, fractional coordinates:
1 Ho 0.0491 0.2551 0.0791
2 Ho 0.0669 0.2246 0.4181
3 Th 0.0000 0.0000 0.0000
4 Sc 0.0522 0.2117 0.7624



[4]
First-principles (GGA-PBE) data for a relaxed structure of HgP, as listed in Alexandria via LeMat-Bulk.

Summary:
- polymorph energy (0 for the lowest one) (meV per atom) = 111
- ρ (g cm⁻³) = 7.5
- calculated formation energy (eV per atom) = 0.14
- raw total energy (eV per atom) = -2.72

a b c (Å): 6.718 7.360 4.561
angles (deg): 90.00 113.83 90.00
Space group C2/m (No. 12)
Inequivalent atoms, fractional coordinates:
1 Hg 0.250 0.250 0.000
2 P 0.182 0.000 0.603



[5]
First-principles (GGA-PBE) data for a relaxed structure of BaZnIr2, as listed in Alexandria via LeMat-Bulk.

Summary:
- ρ (g cm⁻³) = 12.1
- calculated formation energy (eV per atom) = 0.67
- raw total energy (eV per atom) = -4.56

a b c (Å): 4.450 4.450 8.113
angles (deg): 90.00 90.00 90.00
Space group I-4m2 (No. 119)
Inequivalent atoms, fractional coordinates:
1 Ba 0.000 0.000 0.000
2 Zn 0.000 0.500 0.250
3 Ir 0.000 0.000 0.500
4 Ir 0.000 0.500 0.750



[6]
First-principles (GGA-PBE) data for a relaxed structure of Li2TmZn9, as listed in Alexandria via LeMat-Bulk.

Summary:
- ρ (g cm⁻³) = 6.5
- calculated formation energy (eV per atom) = -0.20
- raw total energy (eV per atom) = -1.85

a b c (Å): 5.2307 5.2307 24.9728
angles (deg): 90.00 90.00 120.00
Space group R-3m (No. 166, hexagonal axes)
Inequivalent atoms, fractional coordinates:
1 Li 0.0000 0.0000 0.1434
2 Tm 0.0000 0.0000 0.0000
3 Zn 0.0000 0.0000 0.3342
4 Zn 0.0000 0.0000 0.5000
5 Zn 0.0059 0.5030 0.9144



[7]
First-principles (GGA-PBE) data for a relaxed structure of LaAuS2, as listed in Alexandria via LeMat-Bulk.

Summary:
- uncorrected formation energy (meV per atom) = -1252.8
- polymorph energy (0 for the lowest one) (meV per atom) = 145
- ρ (g cm⁻³) = 5.8
- raw total energy (eV per atom) = -5.37

a b c (Å): 7.952 8.720 7.579
angles (deg): 90.00 119.25 90.00
Space group C2/c (No. 15)
Inequivalent atoms, fractional coordinates:
1 La 0.000 0.145 0.250
2 Au 0.000 0.209 0.750
3 S 0.240 0.111 0.685



[8]
First-principles (GGA-PBE) data for a relaxed structure of FeTcSN2, as listed in Alexandria via LeMat-Bulk.

Summary:
- uncorrected formation energy (meV per atom) = 1040.9
- polymorph energy (0 for the lowest one) (meV per atom) = 309
- ρ (g cm⁻³) = 5.8
- raw total energy (eV per atom) = -6.88

a b c (Å): 3.578 3.578 4.764
angles (deg): 90.00 90.00 90.00
Space group P4/mmm (No. 123)
Inequivalent atoms, fractional coordinates:
1 Fe 0.000 0.000 0.000
2 Tc 0.500 0.500 0.500
3 S 0.000 0.000 0.500
4 N 0.000 0.500 0.000



[9]
First-principles (GGA-PBE) data for a relaxed structure of Mg6ZnMo, as listed in Alexandria via LeMat-Bulk.

Summary:
- polymorph energy (0 for the lowest one) (meV per atom) = 0
- ρ (g cm⁻³) = 3.3
- calculated formation energy (eV per atom) = 0.14
- raw total energy (eV per atom) = -2.57

a b c (Å): 4.381 7.564 9.459
angles (deg): 90.00 90.00 90.00
Space group Amm2 (No. 38)
Inequivalent atoms, fractional coordinates:
1 Mg 0.000 0.000 0.000
2 Mg 0.000 0.210 0.289
3 Mg 0.500 0.000 0.777
4 Mg 0.500 0.233 0.060
5 Zn 0.500 0.000 0.370
6 Mo 0.000 0.000 0.560



[10]
First-principles (GGA-PBE) data for a relaxed structure of LiTePb2, as listed in Alexandria via LeMat-Bulk.

Summary:
- uncorrected formation energy (meV per atom) = -216.6
- ρ (g cm⁻³) = 7.9
- raw total energy (eV per atom) = -3.33

a b c (Å): 4.564 4.564 5.529
angles (deg): 90.00 90.00 90.00
Space group P4/mmm (No. 123)
Inequivalent atoms, fractional coordinates:
1 Li 0.000 0.000 0.000
2 Te 0.500 0.500 0.000
3 Pb 0.000 0.500 0.500



[11]
First-principles (GGA-PBE) data for a relaxed structure of Ga2HgBiPb, as listed in Alexandria via LeMat-Bulk.

Summary:
- ρ (g cm⁻³) = 6.4
- calculated formation energy (eV per atom) = 0.54
- raw total energy (eV per atom) = -2.25

a b c (Å): 5.540 5.540 6.372
angles (deg): 90.00 90.00 90.00
Space group P4/mmm (No. 123)
Inequivalent atoms, fractional coordinates:
1 Ga 0.000 0.500 0.000
2 Hg 0.000 0.000 0.500
3 Bi 0.500 0.500 0.000
4 Pb 0.500 0.500 0.500